# SrZrP2O | Alexandria | PBE | optimized geometry
# uncorrected energy	-23.69	eV per formula unit
# density of states at the Fermi level	6.3	states/eV/cell
# energy relative to the lowest polymorph listed for this composition	8.19	eV per formula unit
# formation energy (no corrections)	462.8	meV/atom
# volume	115	Å³/cell
data_SrZrP2O
_cell_length_a 5.231
_cell_length_b 5.231
_cell_length_c 4.201
_cell_angle_alpha 90.00
_cell_angle_beta 90.00
_cell_angle_gamma 90.00
_space_group_name_H-M_alt 'P 4/m m m'
_space_group_IT_number 123
_space_group_name_Hall '-P 4 2'
loop_
_atom_site_label
_atom_site_type_symbol
_atom_site_fract_x
_atom_site_fract_y
_atom_site_fract_z
Sr1 Sr 0.000 0.000 0.000
Zr1 Zr 0.500 0.500 0.500
P1 P 0.000 0.500 0.000
O1 O 0.000 0.000 0.500